LaMgOs2 after structural relaxation, computed with PBE.

Cell lengths 4.7479, 4.7479, 4.7479 Å; angles 60.00, 60.00, 60.00 degrees
Atoms (fractional coordinates):
Os 0.0000 0.0000 0.0000
Os 0.2500 0.2500 0.2500
Mg 0.7500 0.7500 0.7500
La 0.5000 0.5000 0.5000

## Properties
Space-group type: F-43m (216)
Energy of formation, eV per atom: 0.556
Energy, eV/atom: -6.6891
Total magnetic moment, μB/atom: 0.003
DOS at the Fermi energy, states/eV/atom: 1.44